Entry 1:
DFT (GGA-PBE) results for an optimized crystal structure of Rb2Na2Au.

a = 5.1108 Å, b = 5.1108 Å, c = 34.0314 Å
α = 90.00°, β = 90.00°, γ = 120.00°
Closest atoms and distances in Å follow each position.
Space group R-3m (No. 166, hexagonal axes)
Unique sites:
Rb1 0.0000 0.0000 0.0696  4 Na 3.92-4.03
Na1 0.0000 0.0000 0.1879  3 Au 3.04, 3 Na 3.28
Au1 0.0000 0.0000 0.5000  6 Na 3.04

Distance to the lowest polymorph of the same formula, eV/atom: 0.000
Energy of formation from the pure elements, eV/atom: -0.0946
Magnetization, μB/cell: 0.0
E_tot, eV per cell: -25.0
V, A^3/atom: 51.3

***

Entry 2:
DFT (GGA-PBE) results for an optimized crystal structure of PHBrCl2.

a = 5.3650 Å, b = 5.3650 Å, c = 5.1406 Å
α = 90.00°, β = 90.00°, γ = 90.00°
Closest atoms and distances in Å follow each position.
Space group P4/mmm (No. 123)
Unique sites:
P1 0.0000 0.0000 0.0000  2 Br 2.57
H1 0.5000 0.5000 0.0000  8 Cl 3.72, 4 P 3.79
Br1 0.0000 0.0000 0.5000  2 P 2.57, 4 Cl 2.68
Cl1 0.0000 0.5000 0.5000  2 Br 2.68

Distance to the lowest polymorph of the same formula, eV/atom: 0.417
Magnetization, μB/cell: 3.0
E_tot, eV per cell: -8.8
V, A^3/atom: 29.6

***

Entry 3:
DFT (GGA-PBE) results for an optimized crystal structure of CaTb2Nd6Dy3.

a = 6.3200 Å, b = 10.9408 Å, c = 11.9500 Å
α = 90.00°, β = 100.05°, γ = 90.00°
Closest atoms and distances in Å follow each position.
Space group C2/m (No. 12)
Unique sites:
Ca1 0.0000 0.0000 0.0000  6 Tb 3.65, 6 Nd 3.68
Tb1 0.0000 0.3332 0.0000  6 Nd 3.63-3.65, 3 Ca 3.65, 3 Tb 3.65
Nd1 0.2447 0.3300 0.7467  3 Dy 3.56-3.60, 6 Nd 3.61-3.72, 2 Tb 3.63-3.64, 1 Ca 3.68
Nd2 0.2455 0.5000 0.2541  3 Dy 3.55-3.59, 6 Nd 3.61-3.72, 2 Tb 3.65, 1 Ca 3.68
Dy1 0.0000 0.1663 0.5000  6 Nd 3.56-3.60, 6 Dy 3.64-3.65
Dy2 0.0000 0.5000 0.5000  6 Nd 3.55-3.60, 6 Dy 3.65

Energy of formation from the pure elements, eV/atom: 0.0301
Magnetization, μB/cell: 0.0
E_tot, eV per cell: -106.6
V, A^3/atom: 33.9

***

Here are the calculated D(E_F) numbers, same order: 7.72, 2.13, 27.06 (states/eV per cell).